The following is a DFT calculation (PBE) of crystalline Dy2CdSnAu4 at its relaxed geometry.

Cell lengths 4.9405, 4.9405, 8.5969 Å; angles 73.30, 73.30, 60.00 degrees
Fractional positions:
Cd 0.0000 0.0000 0.0000
Au 0.3717 0.3717 0.8849
Au 0.1221 0.1221 0.6336
Au 0.6283 0.6283 0.1151
Au 0.8779 0.8779 0.3664
Sn 0.5000 0.5000 0.5000
Dy 0.7512 0.7512 0.7463
Dy 0.2488 0.2488 0.2537

DOS(E_F): 4.2 states/eV per cell
magnetic moment: 0.000 Bohr magnetons per cell
ΔH_f (0 K): -5.47 eV per formula unit